# 1
Compound: KBaEuCd
Source: the Alexandria database
Functional: PBE
Structure: optimized geometry

```
4
Lattice="-4.045 0.582 4.722 1.850 -1.139 5.854 0.595 4.708 4.059" Properties=species:S:1:pos:R:3 pbc="T T T"
Ba 0.000 0.000 0.000
K -1.199 3.113 10.977
Eu -0.800 2.075 7.318
Cd -0.400 1.038 3.659
```

Calculated values
DFT formation energy = 0.042 eV/atom
magnetic moment = 8.0 Bohr magnetons per cell
theoretical density = 4.3 g/cm³



# 2
Compound: LiDyYBe
Source: the Alexandria database
Functional: PBE
Structure: optimized geometry

```
4
Lattice="4.991 0.000 0.000 2.496 4.322 0.000 2.496 1.441 4.075" Properties=species:S:1:pos:R:3 pbc="T T T"
Be 0.000 0.000 0.000
Y 2.496 1.441 1.019
Dy 7.487 4.322 3.056
Li 4.991 2.882 2.038
```

Calculated values
DFT formation energy = 0.126 eV/atom
magnetic moment = 0.0 Bohr magnetons per cell
theoretical density = 5.0 g/cm³



# 3
Compound: Co2Cu2Bi
Source: the Alexandria database
Functional: PBE
Structure: optimized geometry

```
10
Lattice="6.698 0.000 0.000 0.000 6.698 0.000 0.000 0.000 3.330" Properties=species:S:1:pos:R:3 pbc="T T T"
Cu 4.410 5.636 1.665
Cu 5.636 2.287 1.665
Cu 2.287 1.062 1.665
Cu 1.062 4.410 1.665
Bi 0.000 0.000 0.000
Bi 3.349 3.349 0.000
Co 5.866 4.181 0.000
Co 0.832 2.517 0.000
Co 4.181 0.832 0.000
Co 2.517 5.866 0.000
```

Calculated values
DFT formation energy = 0.420 eV/atom
energy above the most stable polymorph in this dataset = 0.00 eV/f.u.
magnetic moment = 6.0 Bohr magnetons per cell
theoretical density = 10.1 g/cm³



# 4
Compound: Rb2Y2SbS6
Source: the Alexandria database
Functional: PBE
Structure: optimized geometry

```
11
Lattice="6.904 -0.011 0.061 -3.422 5.996 0.061 -1.241 -2.134 7.852" Properties=species:S:1:pos:R:3 pbc="T T T"
S 0.510 0.877 2.501
S 1.731 2.975 5.474
S -1.743 0.853 5.416
S 0.638 4.945 2.559
S 1.603 -1.094 5.416
S 3.984 2.999 2.559
Y 2.843 0.924 3.987
Y -0.602 2.928 3.987
Sb -0.621 -1.067 3.926
Rb -1.682 4.984 0.061
Rb 5.164 1.001 0.061
```

Calculated values
magnetic moment = 0.0 Bohr magnetons per cell
calculated total energy = -5.36 eV per atom
theoretical density = 3.4 g/cm³



# 5
Compound: B3RuRh
Source: the Alexandria database
Functional: PBE
Structure: optimized geometry

```
5
Lattice="-2.847 1.980 -1.873 -2.725 -2.027 2.000 0.042 2.740 2.833" Properties=species:S:1:pos:R:3 pbc="T T T"
Rh 0.000 0.000 0.000
B -1.424 0.990 -0.936
B 0.021 1.370 1.416
B -1.362 -1.013 1.000
Ru -2.765 1.347 1.480
```

Calculated values
DFT formation energy = 1.350 eV/atom
energy above the most stable polymorph in this dataset = 1.17 eV/f.u.
magnetic moment = 0.0 Bohr magnetons per cell
theoretical density = 6.4 g/cm³



# 6
Compound: LaTcRh2
Source: the Alexandria database
Functional: PBE
Structure: optimized geometry

```
4
Lattice="2.909 0.000 0.000 0.000 3.936 0.000 0.000 0.000 6.406" Properties=species:S:1:pos:R:3 pbc="T T T"
La 1.455 1.968 4.893
Rh 0.000 0.000 0.200
Rh 1.455 1.968 1.754
Tc 0.000 0.000 2.762
```

Calculated values
DFT formation energy = 0.051 eV/atom
energy above the most stable polymorph in this dataset = 0.43 eV/f.u.
magnetic moment = 0.0 Bohr magnetons per cell
theoretical density = 10.0 g/cm³



# 7
Compound: La12TlHg6
Source: the Alexandria database
Functional: PBE
Structure: optimized geometry

```
19
Lattice="8.349 0.611 0.732 -0.662 8.345 0.732 -0.662 -0.771 8.341" Properties=species:S:1:pos:R:3 pbc="T T T"
La 4.166 1.554 4.414
La 0.904 3.565 5.072
La 3.386 4.734 2.317
La 3.990 7.925 8.341
La -0.202 0.898 3.253
La 2.860 6.632 5.392
La 7.228 7.288 6.553
La 6.108 4.973 9.288
La 0.918 3.212 0.518
La 6.121 4.621 4.734
La 3.639 3.451 7.489
La 3.036 0.261 1.465
Hg 1.151 5.579 8.074
Hg 6.692 2.191 6.932
Hg 0.333 5.995 2.874
Hg 5.340 7.590 3.394
Hg 5.875 2.606 1.732
Hg 1.685 0.596 6.412
Tl 0.000 0.000 0.000
```

Calculated values
DFT formation energy = -0.251 eV/atom
magnetic moment = 0.0 Bohr magnetons per cell
theoretical density = 8.6 g/cm³



# 8
Compound: Tb3Nd5Sm3
Source: the Alexandria database
Functional: PBE
Structure: optimized geometry

```
11
Lattice="-0.136 -2.409 -2.492 11.369 -0.565 -0.074 -5.992 -6.793 6.894" Properties=species:S:1:pos:R:3 pbc="T T T"
Tb -5.106 -6.916 4.550
Tb 9.491 -1.680 -1.308
Tb 0.788 -2.376 -0.160
Nd 3.783 -1.396 -1.271
Nd -2.097 -3.505 1.089
Nd 3.488 -6.071 3.264
Nd 5.514 -3.846 1.003
Nd -0.273 -5.922 3.325
Sm -3.577 -4.055 4.115
Sm 6.787 -0.338 -0.044
Sm 2.167 -2.966 2.749
```

Calculated values
DFT formation energy = 0.311 eV/atom
energy above the most stable polymorph in this dataset = 0.00 eV/f.u.
magnetic moment = 0.0 Bohr magnetons per cell
theoretical density = 7.0 g/cm³